Entry 1:
A plane-wave DFT calculation with GGA-PBEsol was carried out for RbAuF4 after structural relaxation.

Geometry as CIF:
```
data_RbAuF4
_symmetry_space_group_name_H-M 'I 4/m c m'
_symmetry_Int_Tables_number 140
_symmetry_space_group_name_Hall '-I 4 2c'
_cell_length_a 6.2071
_cell_length_b 6.2071
_cell_length_c 11.7419
_cell_angle_alpha 90.00
_cell_angle_beta 90.00
_cell_angle_gamma 90.00
loop_
_atom_site_label
_atom_site_fract_x
_atom_site_fract_y
_atom_site_fract_z
_atom_site_occupancy
Rb1 0.0000 0.0000 0.2500 1
Au1 0.0000 0.5000 0.0000 1
F1 0.1569 0.3431 0.1155 1
```

Output
**DFT total energy**: -3.888 eV per atom

=====

Entry 2:
A plane-wave DFT calculation with GGA-PBEsol was carried out for Rb3AuF6 after structural relaxation.

Geometry as CIF:
```
data_Rb3AuF6
_symmetry_space_group_name_H-M 'F m -3 m'
_symmetry_Int_Tables_number 225
_symmetry_space_group_name_Hall '-F 4 2 3'
_cell_length_a 9.3419
_cell_length_b 9.3419
_cell_length_c 9.3419
_cell_angle_alpha 90.00
_cell_angle_beta 90.00
_cell_angle_gamma 90.00
loop_
_atom_site_label
_atom_site_fract_x
_atom_site_fract_y
_atom_site_fract_z
_atom_site_occupancy
Rb1 0.0000 0.0000 0.0000 1
Rb2 0.2500 0.2500 0.2500 1
Au1 0.0000 0.0000 0.5000 1
F1 0.0000 0.0000 0.2743 1
```

Output
**DFT total energy**: -3.884 eV per atom

=====

Entry 3:
A plane-wave DFT calculation with GGA-PBEsol was carried out for Re2Au2F after structural relaxation.

Geometry as CIF:
```
data_Re2Au2F
_symmetry_space_group_name_H-M 'I 4/m m m'
_symmetry_Int_Tables_number 139
_symmetry_space_group_name_Hall '-I 4 2'
_cell_length_a 3.5190
_cell_length_b 3.5190
_cell_length_c 13.8124
_cell_angle_alpha 90.00
_cell_angle_beta 90.00
_cell_angle_gamma 90.00
loop_
_atom_site_label
_atom_site_fract_x
_atom_site_fract_y
_atom_site_fract_z
_atom_site_occupancy
Re1 0.0000 0.5000 0.2500 1
Au1 0.0000 0.0000 0.0968 1
F1 0.0000 0.0000 0.5000 1
```

Output
**DFT total energy**: -6.710 eV per atom